Record 1
Compound: Sr2GaGeH
Source: Alexandria
Functional: GGA-PBE
Structure: optimized geometry

Electronic total energy = -33.82 eV per cell

POSCAR file:
```
Sr2GaGeH
1.0
6.2149 0.0000 0.0000
0.0000 4.3089 0.0000
-2.4867 0.0000 9.0689
Sr Ga Ge H
4 2 2 2
Direct
0.2004 0.2500 0.4195 Sr
0.2820 0.7500 0.0644 Sr
0.7180 0.2500 0.9356 Sr
0.7996 0.7500 0.5805 Sr
0.3355 0.7500 0.6925 Ga
0.6645 0.2500 0.3075 Ga
0.1661 0.2500 0.7913 Ge
0.8339 0.7500 0.2087 Ge
0.3791 0.2500 0.2037 H
0.6209 0.7500 0.7963 H
```



Record 2
Compound: BeMoCl2
Source: Alexandria
Functional: GGA-PBE
Structure: optimized geometry

Electronic total energy = -15.95 eV per cell
ΔE to the lowest computed polymorph = 880 meV per atom
Formation energy without anion corrections = 575 meV per atom

POSCAR file:
```
BeMoCl2
1.0
2.9492 0.0000 0.0000
0.0000 4.0857 0.0000
0.0000 0.0000 5.4489
Be Mo Cl
1 1 2
Direct
0.0000 0.0000 0.0000 Be
0.5000 0.0000 0.5000 Mo
0.0000 0.5000 0.5000 Cl
0.5000 0.5000 0.0000 Cl
```